# HfPtCl3

HfPtCl3 after structural relaxation (PBE, Alexandria via LeMat-Bulk).

Properties
total moment: 2.17 μB per formula unit
uncorrected formation energy: 0.4096 eV per atom
calculated total energy: -3.897 eV per atom
energy relative to the lowest polymorph listed for this composition: 656 meV per atom

```
HfPtCl3
1.0
-3.9296 -1.8212 2.2941
0.5461 -4.2268 -2.4201
2.8777 -1.6847 3.5919
Hf Pt Cl
1 1 3
Direct
0.5000 0.5000 0.5000
0.0000 0.0000 0.0000
0.0000 0.5000 0.0000
0.0000 0.0000 0.5000
0.5000 0.0000 0.0000
```